DFT (PBE-GGA) results for a relaxed structure of AcFeP2Ru.

## Properties
formation energy from the elements	-90	kJ per mole of atoms
VASP energy	-7.465	eV per atom

Cell lengths 3.9548, 3.9548, 11.4840 Å; angles 90.00, 90.00, 90.00 degrees
Space group I-4m2 (No. 119)
One atom of each set of equivalent atoms:
Ac  0.0000  0.0000  0.0000 x2
Fe  0.0000  0.5000  0.2500 x2
P  0.0000  0.0000  0.3496 x4
Ru  0.0000  0.5000  0.7500 x2